{"formula": "Pm2ErAlN", "functional": "GGA-PBE", "state": "optimized geometry", "lattice_angstrom": [[4.960, 0.000, 0.000], [0.000, 4.960, 0.000], [0.000, 0.000, 4.714]], "species": ["Pm", "Pm", "Er", "Al", "N"], "frac_coords": [[0.000, 0.500, 0.000], [0.500, 0.000, 0.000], [0.000, 0.000, 0.500], [0.500, 0.500, 0.500], [0.000, 0.000, 0.000]], "dft_energy_ev_per_cell": -30.31, "magnetic_moment_mub_per_fu": 0.00, "sg": "P4/mmm", "n_ef_per_ev_cell": 2.1}